1.
Density functional theory data (PBE) for crystalline AcThAs3Au at its relaxed geometry.

Cell: 8.695 4.278 9.329 Å, 90.00 102.17 90.00°
Sites, in units of the cell vectors:
Ac: 0.178 0.250 0.227
Ac: 0.822 0.750 0.773
Th: 0.329 0.750 0.837
Th: 0.671 0.250 0.163
As: 0.098 0.250 0.872
As: 0.229 0.750 0.503
As: 0.432 0.750 0.166
As: 0.568 0.250 0.834
As: 0.771 0.250 0.497
As: 0.902 0.750 0.128
Au: 0.102 0.250 0.589
Au: 0.898 0.750 0.411

The calculation puts the formation energy at -0.94 eV/atom. As for the space group: P2_1/m (11). As for the electronic total energy: -5.7365 eV/atom.

***

2.
Density functional theory data (PBE) for crystalline AcThAsAu at its relaxed geometry.

Cell: 7.572 7.572 7.572 Å, 90.00 90.00 90.00°
Sites, in units of the cell vectors:
Ac: 0.000 0.000 0.000
Ac: 0.000 0.500 0.500
Ac: 0.500 0.000 0.500
Ac: 0.500 0.500 0.000
Th: 0.000 0.000 0.500
Th: 0.000 0.500 0.000
Th: 0.500 0.000 0.000
Th: 0.500 0.500 0.500
As: 0.250 0.250 0.250
As: 0.250 0.750 0.750
As: 0.750 0.250 0.750
As: 0.750 0.750 0.250
Au: 0.250 0.250 0.750
Au: 0.250 0.750 0.250
Au: 0.750 0.250 0.250
Au: 0.750 0.750 0.750

The calculation puts the formation energy at -0.70 eV/atom. As for the space group: F-43m (216). As for the electronic total energy: -5.5668 eV/atom.

***

3.
Density functional theory data (PBE) for crystalline AcTlAsAu at its relaxed geometry.

Cell: 7.609 7.609 7.609 Å, 90.00 90.00 90.00°
Sites, in units of the cell vectors:
Ac: 0.000 0.000 0.000
Ac: 0.000 0.500 0.500
Ac: 0.500 0.000 0.500
Ac: 0.500 0.500 0.000
Tl: 0.000 0.000 0.500
Tl: 0.000 0.500 0.000
Tl: 0.500 0.000 0.000
Tl: 0.500 0.500 0.500
As: 0.250 0.250 0.250
As: 0.250 0.750 0.750
As: 0.750 0.250 0.750
As: 0.750 0.750 0.250
Au: 0.250 0.250 0.750
Au: 0.250 0.750 0.250
Au: 0.750 0.250 0.250
Au: 0.750 0.750 0.750

The calculation puts the formation energy at -0.59 eV/atom. As for the space group: F-43m (216). As for the electronic total energy: -4.1936 eV/atom.

***

Q: Look up the electronic total energy of the first one.
A: -5.7365 eV/atom

***

Q: Which value of electronic total energy does entry 3 give?
A: -4.1936 eV/atom

***

Q: What is the electronic total energy in the second record?
A: -5.5668 eV/atom

***

Q: Number 3 is which compound?
A: AcTlAsAu